Entry 1:
First-principles (GGA-PBE) data for a geometry-optimized CeHo2AgHg4 structure, as listed in the Alexandria database.

Summary:
Space-group type = R-3m
Calculated formation energy = -325 meV/atom
Calculated total energy = -2.72 eV per atom

Unit cell a=5.080 b=5.080 c=9.443 alpha=74.40 beta=74.40 gamma=60.00
Fractional coordinates of all 8 atoms:
Ho: 0.760 0.760 0.720
Ho: 0.240 0.240 0.280
Hg: 0.125 0.125 0.624
Hg: 0.619 0.619 0.143
Hg: 0.875 0.875 0.376
Hg: 0.381 0.381 0.857
Ce: 0.000 0.000 0.000
Ag: 0.500 0.500 0.500

=====

Entry 2:
First-principles (GGA-PBE) data for a geometry-optimized Ce2AgHgIr structure, as listed in the Alexandria database.

Summary:
Space-group type = P2_1/m
Calculated formation energy = -424 meV/atom
Calculated total energy = -5.20 eV per atom

Unit cell a=4.072 b=8.107 c=8.012 alpha=111.04 beta=90.00 gamma=90.00
Fractional coordinates of all 10 atoms:
Ag: 0.750 0.456 0.361
Ag: 0.250 0.544 0.639
Ce: 0.250 0.289 0.999
Ce: 0.750 0.711 0.001
Ce: 0.250 0.121 0.352
Ce: 0.750 0.879 0.648
Hg: 0.750 0.300 0.687
Hg: 0.250 0.700 0.313
Ir: 0.750 0.111 0.109
Ir: 0.250 0.889 0.891

=====

Entry 3:
First-principles (GGA-PBE) data for a geometry-optimized LaCe2Ag2Hg2 structure, as listed in the Alexandria database.

Summary:
Space-group type = R-3m
Calculated formation energy = -214 meV/atom
Calculated total energy = -3.51 eV per atom

Unit cell a=4.888 b=4.888 c=8.987 alpha=74.22 beta=74.22 gamma=60.00
Fractional coordinates of all 7 atoms:
Ag: 0.574 0.574 0.278
Ag: 0.426 0.426 0.722
Ce: 0.858 0.858 0.425
Ce: 0.142 0.142 0.575
Hg: 0.733 0.733 0.801
Hg: 0.267 0.267 0.199
La: 0.000 0.000 0.000

=====

Entry 4:
First-principles (GGA-PBE) data for a geometry-optimized LaCeAgHg structure, as listed in the Alexandria database.

Summary:
Space-group type = F-43m
Calculated formation energy = -259 meV/atom
Calculated total energy = -3.76 eV per atom

Unit cell a=5.413 b=5.413 c=5.413 alpha=60.00 beta=60.00 gamma=60.00
Fractional coordinates of all 4 atoms:
La: 0.500 0.500 0.500
Ag: 0.250 0.250 0.250
Ce: 0.000 0.000 0.000
Hg: 0.750 0.750 0.750

=====

Entry 5:
First-principles (GGA-PBE) data for a geometry-optimized LiCeAg2Hg4 structure, as listed in the Alexandria database.

Summary:
Space-group type = R-3m
Calculated formation energy = -224 meV/atom
Calculated total energy = -2.07 eV per atom

Unit cell a=5.028 b=5.028 c=8.584 alpha=72.97 beta=72.97 gamma=60.00
Fractional coordinates of all 8 atoms:
Ce: 0.000 0.000 0.000
Hg: 0.133 0.133 0.602
Hg: 0.867 0.867 0.398
Hg: 0.615 0.615 0.156
Hg: 0.385 0.385 0.844
Ag: 0.254 0.254 0.237
Ag: 0.746 0.746 0.763
Li: 0.500 0.500 0.500

=====

Entry 6:
First-principles (GGA-PBE) data for a geometry-optimized Li2CeAgHg4 structure, as listed in the Alexandria database.

Summary:
Space-group type = R-3m
Calculated formation energy = -244 meV/atom
Calculated total energy = -1.97 eV per atom

Unit cell a=4.736 b=4.736 c=9.609 alpha=75.73 beta=75.73 gamma=60.00
Fractional coordinates of all 8 atoms:
Hg: 0.393 0.393 0.822
Hg: 0.607 0.607 0.178
Hg: 0.122 0.122 0.634
Hg: 0.878 0.878 0.366
Li: 0.770 0.770 0.690
Li: 0.230 0.230 0.310
Ag: 0.500 0.500 0.500
Ce: 0.000 0.000 0.000

=====

Entry 7:
First-principles (GGA-PBE) data for a geometry-optimized CeLuAgHg structure, as listed in the Alexandria database.

Summary:
Space-group type = F-43m
Calculated formation energy = -273 meV/atom
Calculated total energy = -3.68 eV per atom

Unit cell a=5.236 b=5.236 c=5.236 alpha=60.00 beta=60.00 gamma=60.00
Fractional coordinates of all 4 atoms:
Hg: 0.750 0.750 0.750
Ce: 0.500 0.500 0.500
Lu: 0.000 0.000 0.000
Ag: 0.250 0.250 0.250

=====

Entry 8:
First-principles (GGA-PBE) data for a geometry-optimized Ce5AgHgOs2 structure, as listed in the Alexandria database.

Summary:
Space-group type = I4/mcm
Calculated formation energy = -142 meV/atom
Calculated total energy = -6.28 eV per atom

Unit cell a=7.804 b=7.804 c=9.297 alpha=114.82 beta=114.82 gamma=90.00
Fractional coordinates of all 18 atoms:
Hg: 0.750 0.750 0.500
Hg: 0.250 0.250 0.500
Ce: 0.000 0.000 0.000
Ce: 0.666 0.166 0.754
Ce: 0.912 0.412 0.246
Ce: 0.412 0.334 0.246
Ce: 0.588 0.666 0.754
Ce: 0.834 0.912 0.246
Ce: 0.334 0.834 0.246
Ce: 0.500 0.500 0.000
Ce: 0.088 0.588 0.754
Ce: 0.166 0.088 0.754
Os: 0.119 0.381 0.000
Os: 0.619 0.119 0.000
Os: 0.381 0.881 0.000
Os: 0.881 0.619 0.000
Ag: 0.750 0.250 0.500
Ag: 0.250 0.750 0.500

=====

Question: The lowest calculated formation energy belongs to which entry?
Answer: Ce2AgHgIr

=====

Question: Among the records above, which one has the lowest calculated formation energy?
Answer: Ce2AgHgIr

=====

Question: What is the calculated formation energy in the fourth record?
Answer: -259 meV/atom

=====

Question: What is the calculated total energy in the fourth record?
Answer: -3.76 eV per atom